FeSiTeN2 | PBE | relaxed

## Properties
E_form (uncorrected): 5.31 eV per formula unit
calculated density: 5.4 g/cm³
E: -5.6728 eV per atom
magnetic moment: 0.7 μB/cell

```
data_FeSiTeN2
_symmetry_space_group_name_H-M 'P 4/m m m'
_symmetry_Int_Tables_number 123
_symmetry_space_group_name_Hall '-P 4 2'
_cell_length_a 3.721
_cell_length_b 3.721
_cell_length_c 5.360
_cell_angle_alpha 90.00
_cell_angle_beta 90.00
_cell_angle_gamma 90.00
loop_
_atom_site_label
_atom_site_type_symbol
_atom_site_fract_x
_atom_site_fract_y
_atom_site_fract_z
Fe1 Fe 0.000 0.000 0.000
Si1 Si 0.500 0.500 0.500
Te1 Te 0.000 0.000 0.500
N1 N 0.000 0.500 0.000
```

---

TlFeSiN2 | PBE | relaxed

## Properties
E_form (uncorrected): 4.68 eV per formula unit
calculated density: 7.5 g/cm³
E: -5.6445 eV per atom
magnetic moment: 0.0 μB/cell

```
data_TlFeSiN2
_symmetry_space_group_name_H-M 'P 4/m m m'
_symmetry_Int_Tables_number 123
_symmetry_space_group_name_Hall '-P 4 2'
_cell_length_a 3.695
_cell_length_b 3.695
_cell_length_c 5.148
_cell_angle_alpha 90.00
_cell_angle_beta 90.00
_cell_angle_gamma 90.00
loop_
_atom_site_label
_atom_site_type_symbol
_atom_site_fract_x
_atom_site_fract_y
_atom_site_fract_z
Tl1 Tl 0.000 0.000 0.000
Fe1 Fe 0.500 0.500 0.500
Si1 Si 0.500 0.500 0.000
N1 N 0.000 0.500 0.500
```

---

UFe2SiN | PBE | relaxed

## Properties
E_form (uncorrected): -3.51 eV per formula unit
calculated density: 10.0 g/cm³
E: -9.0940 eV per atom
magnetic moment: 6.7 μB/cell

```
data_UFe2SiN
_symmetry_space_group_name_H-M 'C m c m'
_symmetry_Int_Tables_number 63
_symmetry_space_group_name_Hall '-C 2c 2'
_cell_length_a 3.303
_cell_length_b 11.209
_cell_length_c 6.999
_cell_angle_alpha 90.00
_cell_angle_beta 90.00
_cell_angle_gamma 90.00
loop_
_atom_site_label
_atom_site_type_symbol
_atom_site_fract_x
_atom_site_fract_y
_atom_site_fract_z
U1 U 0.000 0.037 0.250
Fe1 Fe 0.000 0.332 0.051
Si1 Si 0.000 0.238 0.750
N1 N 0.000 0.500 0.000
```

---

Sm3Fe5N12 | PBE | relaxed

## Properties
E_form (uncorrected): -3.50 eV per formula unit
calculated density: 6.5 g/cm³
E: -7.9939 eV per atom
magnetic moment: 29.0 μB/cell

```
data_Sm3Fe5N12
_symmetry_space_group_name_H-M 'I a -3 d'
_symmetry_Int_Tables_number 230
_symmetry_space_group_name_Hall '-I 4bd 2c 3'
_cell_length_a 12.248
_cell_length_b 12.248
_cell_length_c 12.248
_cell_angle_alpha 90.00
_cell_angle_beta 90.00
_cell_angle_gamma 90.00
loop_
_atom_site_label
_atom_site_type_symbol
_atom_site_fract_x
_atom_site_fract_y
_atom_site_fract_z
Sm1 Sm 0.000 0.250 0.125
Fe1 Fe 0.000 0.000 0.000
Fe2 Fe 0.000 0.250 0.375
N1 N 0.039 0.047 0.648
```

---

SmFeN | PBE | relaxed

## Properties
E_form (uncorrected): -0.99 eV per formula unit
energy above the most stable polymorph in this dataset: 0 meV per atom
calculated density: 7.9 g/cm³
E: -7.4989 eV per atom
magnetic moment: 0.0 μB/cell

```
data_SmFeN
_symmetry_space_group_name_H-M 'C m c m'
_symmetry_Int_Tables_number 63
_symmetry_space_group_name_Hall '-C 2c 2'
_cell_length_a 3.334
_cell_length_b 16.274
_cell_length_c 3.404
_cell_angle_alpha 90.00
_cell_angle_beta 90.00
_cell_angle_gamma 90.00
loop_
_atom_site_label
_atom_site_type_symbol
_atom_site_fract_x
_atom_site_fract_y
_atom_site_fract_z
Sm1 Sm 0.000 0.106 0.250
Fe1 Fe 0.000 0.247 0.750
N1 N 0.000 0.315 0.250
```

---

SmFe12N | PBE | relaxed

## Properties
E_form (uncorrected): -1.16 eV per formula unit
calculated density: 7.9 g/cm³
E: -8.2682 eV per atom
magnetic moment: 56.7 μB/cell

```
data_SmFe12N
_symmetry_space_group_name_H-M 'I 4/m m m'
_symmetry_Int_Tables_number 139
_symmetry_space_group_name_Hall '-I 4 2'
_cell_length_a 8.517
_cell_length_b 8.517
_cell_length_c 4.853
_cell_angle_alpha 90.00
_cell_angle_beta 90.00
_cell_angle_gamma 90.00
loop_
_atom_site_label
_atom_site_type_symbol
_atom_site_fract_x
_atom_site_fract_y
_atom_site_fract_z
Sm1 Sm 0.000 0.000 0.000
Fe1 Fe 0.000 0.225 0.500
Fe2 Fe 0.000 0.361 0.000
Fe3 Fe 0.250 0.250 0.250
N1 N 0.000 0.000 0.500
```

---

Sm2FeN | PBE | relaxed

## Properties
E_form (uncorrected): -0.52 eV per formula unit
calculated density: 7.2 g/cm³
E: -6.6859 eV per atom
magnetic moment: 6.3 μB/cell

```
data_Sm2FeN
_symmetry_space_group_name_H-M 'R -3 m'
_symmetry_Int_Tables_number 166
_symmetry_space_group_name_Hall '-R 3 2"'
_cell_length_a 3.4218
_cell_length_b 3.4218
_cell_length_c 25.1912
_cell_angle_alpha 90.00
_cell_angle_beta 90.00
_cell_angle_gamma 120.00
loop_
_atom_site_label
_atom_site_type_symbol
_atom_site_fract_x
_atom_site_fract_y
_atom_site_fract_z
Sm1 Sm 0.0000 0.0000 0.1103
Fe1 Fe 0.0000 0.0000 0.0000
N1 N 0.0000 0.0000 0.5000
```

---

SmFeN | PBE | relaxed

## Properties
E_form (uncorrected): -0.67 eV per formula unit
energy above the most stable polymorph in this dataset: 107 meV per atom
calculated density: 8.5 g/cm³
E: -7.3919 eV per atom
magnetic moment: 1.5 μB/cell

```
data_SmFeN
_symmetry_space_group_name_H-M 'P 3 m 1'
_symmetry_Int_Tables_number 156
_symmetry_space_group_name_Hall 'P 3 -2"'
_cell_length_a 3.4392
_cell_length_b 3.4392
_cell_length_c 4.1774
_cell_angle_alpha 90.00
_cell_angle_beta 90.00
_cell_angle_gamma 120.00
loop_
_atom_site_label
_atom_site_type_symbol
_atom_site_fract_x
_atom_site_fract_y
_atom_site_fract_z
Sm1 Sm 0.0000 0.0000 0.0000
Fe1 Fe 0.6667 0.3333 0.4759
N1 N 0.3333 0.6667 0.4305
```

---

SrSm2FeN4 | PBE | relaxed

## Properties
E_form (uncorrected): -7.06 eV per formula unit
calculated density: 6.6 g/cm³
E: -7.4931 eV per atom
magnetic moment: 6.7 μB/cell

```
data_SrSm2FeN4
_symmetry_space_group_name_H-M 'C m c m'
_symmetry_Int_Tables_number 63
_symmetry_space_group_name_Hall '-C 2c 2'
_cell_length_a 3.502
_cell_length_b 12.040
_cell_length_c 11.913
_cell_angle_alpha 90.00
_cell_angle_beta 90.00
_cell_angle_gamma 90.00
loop_
_atom_site_label
_atom_site_type_symbol
_atom_site_fract_x
_atom_site_fract_y
_atom_site_fract_z
Sr1 Sr 0.000 0.099 0.250
Sm1 Sm 0.000 0.369 0.044
Fe1 Fe 0.000 0.178 0.750
N1 N 0.000 0.000 0.000
N2 N 0.000 0.262 0.626
N3 N 0.000 0.391 0.250
```

---

SmTi2FeN4 | PBE | relaxed

## Properties
E_form (uncorrected): -9.47 eV per formula unit
calculated density: 6.8 g/cm³
E: -8.9674 eV per atom
magnetic moment: 4.2 μB/cell

```
data_SmTi2FeN4
_symmetry_space_group_name_H-M 'C m c m'
_symmetry_Int_Tables_number 63
_symmetry_space_group_name_Hall '-C 2c 2'
_cell_length_a 3.132
_cell_length_b 10.677
_cell_length_c 10.524
_cell_angle_alpha 90.00
_cell_angle_beta 90.00
_cell_angle_gamma 90.00
loop_
_atom_site_label
_atom_site_type_symbol
_atom_site_fract_x
_atom_site_fract_y
_atom_site_fract_z
Sm1 Sm 0.000 0.104 0.250
Ti1 Ti 0.000 0.368 0.045
Fe1 Fe 0.000 0.159 0.750
N1 N 0.000 0.000 0.000
N2 N 0.000 0.267 0.611
N3 N 0.000 0.433 0.250
```

---

SmTm2FeN4 | PBE | relaxed

## Properties
E_form (uncorrected): -9.54 eV per formula unit
calculated density: 9.3 g/cm³
E: -8.1211 eV per atom
magnetic moment: 0.9 μB/cell

```
data_SmTm2FeN4
_symmetry_space_group_name_H-M 'C m c m'
_symmetry_Int_Tables_number 63
_symmetry_space_group_name_Hall '-C 2c 2'
_cell_length_a 3.354
_cell_length_b 11.260
_cell_length_c 11.360
_cell_angle_alpha 90.00
_cell_angle_beta 90.00
_cell_angle_gamma 90.00
loop_
_atom_site_label
_atom_site_type_symbol
_atom_site_fract_x
_atom_site_fract_y
_atom_site_fract_z
Sm1 Sm 0.000 0.116 0.250
Tm1 Tm 0.000 0.368 0.045
Fe1 Fe 0.000 0.153 0.750
N1 N 0.000 0.000 0.000
N2 N 0.000 0.267 0.629
N3 N 0.000 0.421 0.250
```

---

SmU2FeN4 | PBE | relaxed

## Properties
E_form (uncorrected): -9.46 eV per formula unit
calculated density: 11.2 g/cm³
E: -9.8154 eV per atom
magnetic moment: 4.0 μB/cell

```
data_SmU2FeN4
_symmetry_space_group_name_H-M 'C m c m'
_symmetry_Int_Tables_number 63
_symmetry_space_group_name_Hall '-C 2c 2'
_cell_length_a 3.413
_cell_length_b 11.423
_cell_length_c 11.234
_cell_angle_alpha 90.00
_cell_angle_beta 90.00
_cell_angle_gamma 90.00
loop_
_atom_site_label
_atom_site_type_symbol
_atom_site_fract_x
_atom_site_fract_y
_atom_site_fract_z
Sm1 Sm 0.000 0.103 0.250
U1 U 0.000 0.369 0.059
Fe1 Fe 0.000 0.161 0.750
N1 N 0.000 0.000 0.000
N2 N 0.000 0.270 0.614
N3 N 0.000 0.446 0.250
```